# CuSi | Alexandria | GGA-PBE | relaxed
data_CuSi
_symmetry_space_group_name_H-M 'P 1 2/c 1'
_symmetry_Int_Tables_number 13
_cell_length_a 2.7080
_cell_length_b 4.1760
_cell_length_c 4.8722
_cell_angle_alpha 90.00
_cell_angle_beta 108.15
_cell_angle_gamma 90.00
loop_
_symmetry_equiv_pos_as_xyz
'x,y,z'
'-x,-y,-z'
'-x,y,-z+1/2'
'x,-y,z+1/2'
loop_
_atom_site_label
_atom_site_fract_x
_atom_site_fract_y
_atom_site_fract_z
Cu1 0.0000 0.1245 0.2500
Si1 0.5000 0.3727 0.7500
# DOS at the Fermi energy in states/eV per atom: 0.164
# Energy relative to the elements, uncorrected in eV/atom: 0.108
# Raw total energy in eV/cell: -18.608



# CsZn2AgPd | Alexandria | GGA-PBE | relaxed
data_CsZn2AgPd
_symmetry_space_group_name_H-M 'P 4/m m m'
_symmetry_Int_Tables_number 123
_symmetry_space_group_name_Hall '-P 4 2'
_cell_length_a 5.0169
_cell_length_b 5.0169
_cell_length_c 5.4616
_cell_angle_alpha 90.00
_cell_angle_beta 90.00
_cell_angle_gamma 90.00
loop_
_atom_site_label
_atom_site_fract_x
_atom_site_fract_y
_atom_site_fract_z
Cs1 0.0000 0.0000 0.0000
Zn1 0.0000 0.5000 0.5000
Ag1 0.5000 0.5000 0.0000
Pd1 0.5000 0.5000 0.5000
# DOS at the Fermi energy in states/eV per atom: 0.347
# Raw total energy in eV/cell: -11.582
# Energy of formation in meV/atom: -27



# EuLuThSc | Alexandria | GGA-PBE | relaxed
data_EuLuThSc
_symmetry_space_group_name_H-M 'F -4 3 m'
_symmetry_Int_Tables_number 216
_symmetry_space_group_name_Hall 'F -4 2 3'
_cell_length_a 7.9048
_cell_length_b 7.9048
_cell_length_c 7.9048
_cell_angle_alpha 90.00
_cell_angle_beta 90.00
_cell_angle_gamma 90.00
loop_
_atom_site_label
_atom_site_fract_x
_atom_site_fract_y
_atom_site_fract_z
Eu1 0.0000 0.0000 0.0000
Lu1 0.2500 0.2500 0.2500
Th1 0.0000 0.0000 0.5000
Sc1 0.2500 0.2500 0.7500
# DOS at the Fermi energy in states/eV per atom: 1.482
# Raw total energy in eV/cell: -111.368
# Energy of formation in meV/atom: 176



# CeEuCuPd | Alexandria | GGA-PBE | relaxed
data_CeEuCuPd
_symmetry_space_group_name_H-M 'F -4 3 m'
_symmetry_Int_Tables_number 216
_symmetry_space_group_name_Hall 'F -4 2 3'
_cell_length_a 7.1888
_cell_length_b 7.1888
_cell_length_c 7.1888
_cell_angle_alpha 90.00
_cell_angle_beta 90.00
_cell_angle_gamma 90.00
loop_
_atom_site_label
_atom_site_fract_x
_atom_site_fract_y
_atom_site_fract_z
Ce1 0.0000 0.0000 0.0000
Eu1 0.0000 0.0000 0.5000
Cu1 0.2500 0.2500 0.7500
Pd1 0.2500 0.2500 0.2500
# DOS at the Fermi energy in states/eV per atom: 2.296
# Raw total energy in eV/cell: -107.254
# Energy of formation in meV/atom: -329



# CaMg2Hg | Alexandria | GGA-PBE | relaxed
data_CaMg2Hg
_symmetry_space_group_name_H-M 'C 1 2/m 1'
_symmetry_Int_Tables_number 12
_cell_length_a 11.5878
_cell_length_b 3.8352
_cell_length_c 5.2342
_cell_angle_alpha 90.00
_cell_angle_beta 116.71
_cell_angle_gamma 90.00
loop_
_symmetry_equiv_pos_as_xyz
'x,y,z'
'-x,-y,-z'
'-x,y,-z'
'x,-y,z'
'x+1/2,y+1/2,z'
'-x+1/2,-y+1/2,-z'
'-x+1/2,y+1/2,-z'
'x+1/2,-y+1/2,z'
loop_
_atom_site_label
_atom_site_fract_x
_atom_site_fract_y
_atom_site_fract_z
Ca1 0.0000 0.0000 0.0000
Mg1 0.2202 0.0000 0.7205
Hg1 0.0000 0.5000 0.5000
# DOS at the Fermi energy in states/eV per atom: 0.509
# Raw total energy in eV/cell: -12.664
# Energy of formation in meV/atom: -210



# Sm2SnS5 | Alexandria | GGA-PBE | relaxed
data_Sm2SnS5
_symmetry_space_group_name_H-M 'C m c m'
_symmetry_Int_Tables_number 63
_symmetry_space_group_name_Hall '-C 2c 2'
_cell_length_a 5.2790
_cell_length_b 13.6691
_cell_length_c 13.0314
_cell_angle_alpha 90.00
_cell_angle_beta 90.00
_cell_angle_gamma 90.00
loop_
_atom_site_label
_atom_site_fract_x
_atom_site_fract_y
_atom_site_fract_z
Sm1 0.0000 0.1499 0.0684
Sn1 0.0000 0.1711 0.7500
S1 0.0000 0.0452 0.6120
S2 0.0000 0.2750 0.2500
S3 0.0000 0.2953 0.5947
# Relative energy among the computed polymorphs in meV/atom: 119
# Energy relative to the elements, uncorrected in eV/atom: -1.314
# Raw total energy in eV/cell: -178.372



> raw total energy of number 2 (CsZn2AgPd)?

-11.582 eV/cell



> Which of these has the lowest raw total energy?

Sm2SnS5